TiGeRu | GGA-PBEsol | relaxed Values from VASP.

Cell and atoms, written as Quantum ESPRESSO input:
```
&SYSTEM
  ibrav = 0, nat = 18, ntyp = 3
/
ATOMIC_SPECIES
Ti 47.87 Ti.upf
Ge 72.64 Ge.upf
Ru 101.07 Ru.upf
CELL_PARAMETERS angstrom
-2.615 5.604 -2.088
-4.291 -4.170 4.383
-1.015 2.045 6.759
ATOMIC_POSITIONS crystal
Ti 0.605 0.613 0.944
Ti 0.992 0.387 0.056
Ti 0.992 0.454 0.523
Ti 0.538 0.546 0.477
Ti 0.417 0.004 0.748
Ti 0.413 0.996 0.252
Ge 0.043 0.074 0.713
Ge 0.969 0.926 0.287
Ge 0.328 0.665 0.161
Ge 0.663 0.335 0.839
Ge 0.328 0.665 0.673
Ge 0.663 0.335 0.327
Ru 0.748 0.000 0.000
Ru 0.748 0.000 0.500
Ru 0.249 0.251 0.333
Ru 0.998 0.749 0.667
Ru 0.249 0.251 0.915
Ru 0.998 0.749 0.085
```

Formation energy from the elements = -0.70 eV per atom
SG = Ima2, No. 46
Calculated total energy = -153.23 eV/cell
Calculated density = 8.43 g cm⁻³

HfAg3As | GGA-PBEsol | relaxed Values from VASP.

Cell and atoms, written as Quantum ESPRESSO input:
```
&SYSTEM
  ibrav = 0, nat = 5, ntyp = 3
/
ATOMIC_SPECIES
As 74.92 As.upf
Hf 178.49 Hf.upf
Ag 107.87 Ag.upf
CELL_PARAMETERS angstrom
4.737 0.000 0.000
0.000 4.737 0.000
0.000 0.000 4.737
ATOMIC_POSITIONS crystal
As 0.000 0.000 0.000
Hf 0.500 0.500 0.500
Ag 0.000 0.500 0.000
Ag 0.000 0.000 0.500
Ag 0.500 0.000 0.000
```

Formation energy from the elements = 0.79 eV per atom
SG = Pm-3m, No. 221
Calculated total energy = -21.60 eV/cell
Calculated density = 9.01 g cm⁻³